6
Lattice="2.955 0.000 0.000 0.000 2.955 0.000 0.000 0.000 10.068" Properties=species:S:1:pos:R:3 comment="ZnMo2Ru3 PBE optimized geometry" final_energy_ev_per_cell=-50.60 crystal_system=tetragonal rho_g_cm3=10.59 magmom_total_mub_per_fu=0.00 pbc="T T T"
Zn 0.000 0.000 0.000
Mo 0.000 0.000 3.232
Mo 0.000 0.000 6.836
Ru 1.477 1.477 1.640
Ru 1.477 1.477 5.034
Ru 1.477 1.477 8.429